1.
# LiAcPrPt (PBE, relaxed)
data_LiAcPrPt
_chemical_formula_sum 'Li4 Ac4 Pr4 Pt4'
_space_group_name_H-M_alt 'F -4 3 m'
_space_group_IT_number 216
_space_group_name_Hall 'F -4 2 3'
_cell_length_a 7.523
_cell_length_b 7.523
_cell_length_c 7.523
_cell_angle_alpha 90.00
_cell_angle_beta 90.00
_cell_angle_gamma 90.00
loop_
_atom_site_label
_atom_site_type_symbol
_atom_site_fract_x
_atom_site_fract_y
_atom_site_fract_z
Li1 Li 0.000 0.000 0.000
Ac1 Ac 0.250 0.250 0.250
Pr1 Pr 0.250 0.250 0.750
Pt1 Pt 0.000 0.000 0.500
# Formation energy from the elements: -180 kJ/mol of formula units

***

2.
# PrRhN (PBE, relaxed)
data_PrRhN
_chemical_formula_sum 'Pr1 Rh1 N1'
_space_group_name_H-M_alt 'P 3 m 1'
_space_group_IT_number 156
_cell_length_a 3.8014
_cell_length_b 3.8014
_cell_length_c 3.9828
_cell_angle_alpha 90.00
_cell_angle_beta 90.00
_cell_angle_gamma 120.00
loop_
_space_group_symop_operation_xyz
'x,y,z'
'-y,x-y,z'
'-x+y,-x,z'
'-y,-x,z'
'-x+y,y,z'
'x,x-y,z'
loop_
_atom_site_label
_atom_site_type_symbol
_atom_site_fract_x
_atom_site_fract_y
_atom_site_fract_z
Pr1 Pr 0.0000 0.0000 0.0000
Rh1 Rh 0.6667 0.3333 0.4699
N1 N 0.3333 0.6667 0.3733
# Formation energy (no corrections): -0.299 eV/atom

***

3.
# Li6AlHg2 (PBE, relaxed)
data_Li6AlHg2
_chemical_formula_sum 'Li12 Al2 Hg4'
_space_group_name_H-M_alt 'C 1 2/m 1'
_space_group_IT_number 12
_cell_length_a 9.574
_cell_length_b 4.612
_cell_length_c 7.155
_cell_angle_alpha 90.00
_cell_angle_beta 103.63
_cell_angle_gamma 90.00
loop_
_space_group_symop_operation_xyz
'x,y,z'
'-x,-y,-z'
'-x,y,-z'
'x,-y,z'
'x+1/2,y+1/2,z'
'-x+1/2,-y+1/2,-z'
'-x+1/2,y+1/2,-z'
'x+1/2,-y+1/2,z'
loop_
_atom_site_label
_atom_site_type_symbol
_atom_site_fract_x
_atom_site_fract_y
_atom_site_fract_z
Li1 Li 0.108 0.000 0.166
Li2 Li 0.172 0.500 0.501
Li3 Li 0.229 0.000 0.837
Al1 Al 0.000 0.000 0.500
Hg1 Hg 0.062 0.500 0.819
# Formation energy from the elements: -198 kJ/mol of formula units
# Excess energy over the best structure of this formula in the dataset: 0 meV/atom

***

Number 1: magnetic moment 0.0000 μB/atom, DFT total energy -4.68 eV per atom. Number 2: magnetic moment 0.0000 μB/atom, DFT total energy -7.12 eV per atom. Number 3: magnetic moment 0.0000 μB/atom, DFT total energy -1.99 eV per atom.